(1)
First-principles (PBE) data for a geometry-optimized Ac2DyAg structure, as listed in Alexandria via LeMat-Bulk.

Values from the calculation:
SG ... R-3m
M_tot ... 0.000 μB/atom
Volume ... 150.9 Å³/cell
Energy of formation ... 119 kJ/mol of formula units
E above lowest polymorph ... 387.1 meV/atom

Lattice parameters (Å, degrees): 12.441 12.441 12.441 17.44 17.44 17.44
Fractional positions:
Ac1 0.085 0.085 0.085
Ac2 0.915 0.915 0.915
Dy1 0.500 0.500 0.500
Ag1 0.000 0.000 0.000

(2)
First-principles (PBE) data for a geometry-optimized La2Pm3ThN6 structure, as listed in Alexandria via LeMat-Bulk.

Values from the calculation:
Formation energy (no corrections) ... -1.452 eV/atom
SG ... C2/m
M_tot ... 0.000 μB/atom
Volume ... 209.3 Å³/cell

Lattice parameters (Å, degrees): 8.189 8.189 7.342 102.86 102.86 25.89
Fractional positions:
La1 0.167 0.167 0.335
La2 0.833 0.833 0.665
Pm1 0.167 0.167 0.832
Pm2 0.500 0.500 0.500
Pm3 0.833 0.833 0.168
Th1 0.500 0.500 0.000
N1 0.002 0.002 0.761
N2 0.336 0.336 0.413
N3 0.339 0.339 0.925
N4 0.661 0.661 0.075
N5 0.664 0.664 0.587
N6 0.998 0.998 0.239

(3)
First-principles (PBE) data for a geometry-optimized Cu2SiF6 structure, as listed in Alexandria via LeMat-Bulk.

Values from the calculation:
Formation energy (no corrections) ... -2.114 eV/atom
SG ... C2/c
M_tot ... 0.000 μB/atom
Volume ... 291.2 Å³/cell

Lattice parameters (Å, degrees): 9.241 9.241 3.718 96.61 96.61 110.55
Fractional positions:
Cu1 0.036 0.205 0.254
Cu2 0.205 0.036 0.754
Cu3 0.795 0.964 0.246
Cu4 0.964 0.795 0.746
Si1 0.350 0.650 0.750
Si2 0.650 0.350 0.250
F1 0.057 0.244 0.771
F2 0.197 0.621 0.928
F3 0.244 0.057 0.271
F4 0.322 0.499 0.463
F5 0.379 0.803 0.572
F6 0.499 0.322 0.963
F7 0.501 0.678 0.037
F8 0.621 0.197 0.428
F9 0.678 0.501 0.537
F10 0.756 0.943 0.729
F11 0.803 0.379 0.072
F12 0.943 0.756 0.229

(4)
First-principles (PBE) data for a geometry-optimized LiGdPb structure, as listed in Alexandria via LeMat-Bulk.

Values from the calculation:
SG ... F-43m
M_tot ... 2.358 μB/atom
Volume ... 75.6 Å³/cell
Energy of formation ... -96 kJ/mol of formula units

Lattice parameters (Å, degrees): 4.747 4.747 4.747 60.00 60.00 60.00
Fractional positions:
Li1 0.000 0.000 0.000
Gd1 0.250 0.250 0.250
Pb1 0.750 0.750 0.750

(5)
First-principles (PBE) data for a geometry-optimized CaTbEr2Hg4 structure, as listed in Alexandria via LeMat-Bulk.

Values from the calculation:
SG ... R-3m
M_tot ... 0.000 μB/atom
Volume ... 205.3 Å³/cell
Energy of formation ... -390 kJ/mol of formula units

Lattice parameters (Å, degrees): 9.108 9.108 9.108 33.52 33.52 33.52
Fractional positions:
Ca1 0.000 0.000 0.000
Tb1 0.500 0.500 0.500
Er1 0.251 0.251 0.251
Er2 0.749 0.749 0.749
Hg1 0.126 0.126 0.126
Hg2 0.376 0.376 0.376
Hg3 0.624 0.624 0.624
Hg4 0.874 0.874 0.874

(6)
First-principles (PBE) data for a geometry-optimized LiHg6Pd12 structure, as listed in Alexandria via LeMat-Bulk.

Values from the calculation:
SG ... R-3
M_tot ... 0.000 μB/atom
Volume ... 330.6 Å³/cell
Energy of formation ... -149 kJ/mol of formula units

Lattice parameters (Å, degrees): 6.920 6.920 6.920 92.27 92.27 92.27
Fractional positions:
Li1 0.000 0.000 0.000
Hg1 0.123 0.288 0.739
Hg2 0.261 0.877 0.712
Hg3 0.288 0.739 0.123
Hg4 0.712 0.261 0.877
Hg5 0.739 0.123 0.288
Hg6 0.877 0.712 0.261
Pd1 0.043 0.361 0.136
Pd2 0.136 0.043 0.361
Pd3 0.208 0.541 0.459
Pd4 0.361 0.136 0.043
Pd5 0.459 0.208 0.541
Pd6 0.459 0.541 0.792
Pd7 0.541 0.459 0.208
Pd8 0.541 0.792 0.459
Pd9 0.639 0.864 0.957
Pd10 0.792 0.459 0.541
Pd11 0.864 0.957 0.639
Pd12 0.957 0.639 0.864

(7)
First-principles (PBE) data for a geometry-optimized CuTc2Ni structure, as listed in Alexandria via LeMat-Bulk.

Values from the calculation:
SG ... Pmmm
M_tot ... 0.000 μB/atom
Volume ... 52.1 Å³/cell
Energy of formation ... 59 kJ/mol of formula units
E above lowest polymorph ... 52.0 meV/atom

Lattice parameters (Å, degrees): 3.616 3.635 3.961 90.00 90.00 90.00
Fractional positions:
Cu1 0.000 0.000 0.000
Tc1 0.000 0.500 0.500
Tc2 0.500 0.000 0.500
Ni1 0.500 0.500 0.000

(8)
First-principles (PBE) data for a geometry-optimized Pm2Y3Tm6 structure, as listed in Alexandria via LeMat-Bulk.

Values from the calculation:
SG ... I4/mmm
M_tot ... 0.000 μB/atom
Volume ... 364.9 Å³/cell
Energy of formation ... 281 kJ/mol of formula units
E above lowest polymorph ... 68.3 meV/atom

Lattice parameters (Å, degrees): 16.751 16.751 16.751 163.82 163.82 22.96
Fractional positions:
Pm1 0.046 0.046 0.000
Pm2 0.954 0.954 0.000
Y1 0.297 0.297 0.000
Y2 0.500 0.500 0.000
Y3 0.703 0.703 0.000
Tm1 0.121 0.621 0.500
Tm2 0.192 0.192 0.000
Tm3 0.379 0.879 0.500
Tm4 0.621 0.121 0.500
Tm5 0.808 0.808 0.000
Tm6 0.879 0.379 0.500

(9)
First-principles (PBE) data for a geometry-optimized IrSe2Br structure, as listed in Alexandria via LeMat-Bulk.

Values from the calculation:
Formation energy (no corrections) ... 0.599 eV/atom
SG ... I4/mmm
M_tot ... 0.000 μB/atom
Volume ... 79.2 Å³/cell
E above lowest polymorph ... 828.0 meV/atom

Lattice parameters (Å, degrees): 4.686 4.686 4.686 109.95 109.95 108.52
Fractional positions:
Ir1 0.000 0.000 0.000
Se1 0.000 0.500 0.500
Se2 0.500 0.000 0.500
Br1 0.500 0.500 0.000

(10)
First-principles (PBE) data for a geometry-optimized SnH4Br4 structure, as listed in Alexandria via LeMat-Bulk.

Values from the calculation:
SG ... P-1
Electronic total energy ... -2.901 eV per atom
M_tot ... 0.000 μB/atom
Volume ... 216.8 Å³/cell

Lattice parameters (Å, degrees): 5.440 5.520 7.739 87.78 69.54 84.66
Fractional positions:
Sn1 0.000 0.000 0.000
H1 0.136 0.505 0.728
H2 0.249 0.790 0.999
H3 0.751 0.210 0.001
H4 0.864 0.495 0.272
Br1 0.089 0.259 0.275
Br2 0.363 0.268 0.729
Br3 0.637 0.732 0.271
Br4 0.911 0.741 0.725

(11)
First-principles (PBE) data for a geometry-optimized TmBeZn structure, as listed in Alexandria via LeMat-Bulk.

Values from the calculation:
SG ... P-6m2
M_tot ... 0.000 μB/atom
Volume ... 53.0 Å³/cell
Energy of formation ... -49 kJ/mol of formula units
E above lowest polymorph ... 0.0 meV/atom

Lattice parameters (Å, degrees): 4.203 4.203 3.463 90.00 90.00 120.00
Fractional positions:
Tm1 0.000 0.000 0.000
Be1 0.667 0.333 0.500
Zn1 0.333 0.667 0.500

(12)
First-principles (PBE) data for a geometry-optimized Y2TlS structure, as listed in Alexandria via LeMat-Bulk.

Values from the calculation:
Formation energy (no corrections) ... -0.636 eV/atom
SG ... Fm-3m
M_tot ... 0.000 μB/atom
Volume ... 98.6 Å³/cell
E above lowest polymorph ... 568.3 meV/atom

Lattice parameters (Å, degrees): 5.186 5.186 5.186 60.00 60.00 60.00
Fractional positions:
Y1 0.250 0.250 0.250
Y2 0.750 0.750 0.750
Tl1 0.000 0.000 0.000
S1 0.500 0.500 0.500

(13)
First-principles (PBE) data for a geometry-optimized Nd3Mg4Pt4 structure, as listed in Alexandria via LeMat-Bulk.

Values from the calculation:
SG ... Immm
M_tot ... 0.000 μB/atom
Volume ... 243.1 Å³/cell
Energy of formation ... -936 kJ/mol of formula units

Lattice parameters (Å, degrees): 8.697 8.697 8.697 152.90 125.15 62.23
Fractional positions:
Nd1 0.000 0.000 0.000
Nd2 0.385 0.885 0.500
Nd3 0.615 0.115 0.500
Mg1 0.017 0.325 0.692
Mg2 0.367 0.675 0.692
Mg3 0.633 0.325 0.308
Mg4 0.983 0.675 0.308
Pt1 0.232 0.232 0.000
Pt2 0.297 0.500 0.797
Pt3 0.703 0.500 0.203
Pt4 0.768 0.768 0.000

(14)
First-principles (PBE) data for a geometry-optimized ScNi15Ge4 structure, as listed in Alexandria via LeMat-Bulk.

Values from the calculation:
SG ... P4/mmm
M_tot ... 0.000 μB/atom
Volume ... 234.0 Å³/cell
Energy of formation ... -594 kJ/mol of formula units

Lattice parameters (Å, degrees): 3.613 3.613 17.925 90.00 90.00 90.00
Fractional positions:
Sc1 0.000 0.000 0.000
Ni1 0.000 0.500 0.107
Ni2 0.000 0.500 0.303
Ni3 0.000 0.500 0.500
Ni4 0.000 0.500 0.697
Ni5 0.000 0.500 0.893
Ni6 0.500 0.000 0.107
Ni7 0.500 0.000 0.303
Ni8 0.500 0.000 0.500
Ni9 0.500 0.000 0.697
Ni10 0.500 0.000 0.893
Ni11 0.500 0.500 0.000
Ni12 0.500 0.500 0.205
Ni13 0.500 0.500 0.401
Ni14 0.500 0.500 0.599
Ni15 0.500 0.500 0.795
Ge1 0.000 0.000 0.203
Ge2 0.000 0.000 0.401
Ge3 0.000 0.000 0.599
Ge4 0.000 0.000 0.797

(15)
First-principles (PBE) data for a geometry-optimized BaNp4O12 structure, as listed in Alexandria via LeMat-Bulk.

Values from the calculation:
Formation energy (no corrections) ... -2.874 eV/atom
SG ... Im-3m
M_tot ... 0.353 μB/atom
Volume ... 299.5 Å³/cell

Lattice parameters (Å, degrees): 7.300 7.300 7.300 109.47 109.47 109.47
Fractional positions:
Ba1 0.000 0.000 0.000
Np1 0.000 0.000 0.500
Np2 0.000 0.500 0.000
Np3 0.500 0.000 0.000
Np4 0.500 0.500 0.500
O1 0.000 0.243 0.757
O2 0.000 0.757 0.243
O3 0.243 0.000 0.757
O4 0.243 0.243 0.485
O5 0.243 0.485 0.243
O6 0.243 0.757 0.000
O7 0.485 0.243 0.243
O8 0.515 0.757 0.757
O9 0.757 0.000 0.243
O10 0.757 0.243 0.000
O11 0.757 0.515 0.757
O12 0.757 0.757 0.515

(16)
First-principles (PBE) data for a geometry-optimized MnSb2S4 structure, as listed in Alexandria via LeMat-Bulk.

Values from the calculation:
Formation energy (no corrections) ... -0.224 eV/atom
SG ... Cccm
M_tot ... 0.715 μB/atom
Volume ... 574.7 Å³/cell
E above lowest polymorph ... 124.0 meV/atom

Lattice parameters (Å, degrees): 9.733 9.733 6.887 90.00 90.00 118.26
Fractional positions:
Mn1 0.000 0.000 0.250
Mn2 0.000 0.000 0.750
Sb1 0.119 0.702 0.000
Sb2 0.298 0.881 0.500
Sb3 0.702 0.119 0.500
Sb4 0.881 0.298 0.000
S1 0.000 0.500 0.255
S2 0.000 0.500 0.745
S3 0.074 0.200 0.000
S4 0.200 0.074 0.500
S5 0.500 0.000 0.245
S6 0.500 0.000 0.755
S7 0.800 0.926 0.500
S8 0.926 0.800 0.000

(17)
First-principles (PBE) data for a geometry-optimized LaTb15Tm4 structure, as listed in Alexandria via LeMat-Bulk.

Values from the calculation:
SG ... P4/mmm
M_tot ... 0.000 μB/atom
Volume ... 636.7 Å³/cell
Energy of formation ... 41 kJ/mol of formula units

Lattice parameters (Å, degrees): 5.029 5.029 25.175 90.00 90.00 90.00
Fractional positions:
La1 0.000 0.000 0.000
Tb1 0.000 0.500 0.103
Tb2 0.000 0.500 0.302
Tb3 0.000 0.500 0.500
Tb4 0.000 0.500 0.698
Tb5 0.000 0.500 0.897
Tb6 0.500 0.000 0.103
Tb7 0.500 0.000 0.302
Tb8 0.500 0.000 0.500
Tb9 0.500 0.000 0.698
Tb10 0.500 0.000 0.897
Tb11 0.500 0.500 0.000
Tb12 0.500 0.500 0.203
Tb13 0.500 0.500 0.401
Tb14 0.500 0.500 0.599
Tb15 0.500 0.500 0.797
Tm1 0.000 0.000 0.202
Tm2 0.000 0.000 0.401
Tm3 0.000 0.000 0.599
Tm4 0.000 0.000 0.798

(18)
First-principles (PBE) data for a geometry-optimized KRuCl2 structure, as listed in Alexandria via LeMat-Bulk.

Values from the calculation:
Formation energy (no corrections) ... -0.475 eV/atom
SG ... Immm
M_tot ... 0.254 μB/atom
Volume ... 99.7 Å³/cell
E above lowest polymorph ... 3.7 meV/atom

Lattice parameters (Å, degrees): 5.667 5.667 5.667 142.20 113.55 79.06
Fractional positions:
K1 0.000 0.000 0.000
Ru1 0.500 0.500 0.000
Cl1 0.328 0.828 0.500
Cl2 0.672 0.172 0.500

(19)
First-principles (PBE) data for a geometry-optimized CrIn2Sb structure, as listed in Alexandria via LeMat-Bulk.

Values from the calculation:
Formation energy (no corrections) ... 0.339 eV/atom
SG ... F-43m
M_tot ... 1.109 μB/atom
Volume ... 97.9 Å³/cell

Lattice parameters (Å, degrees): 5.174 5.174 5.174 60.00 60.00 60.00
Fractional positions:
Cr1 0.000 0.000 0.000
In1 0.500 0.500 0.500
In2 0.750 0.750 0.750
Sb1 0.250 0.250 0.250

(20)
First-principles (PBE) data for a geometry-optimized MnW structure, as listed in Alexandria via LeMat-Bulk.

Values from the calculation:
SG ... Pm-3n
M_tot ... 0.478 μB/atom
Volume ... 298.2 Å³/cell
Energy of formation ... 432 kJ/mol of formula units

Lattice parameters (Å, degrees): 6.681 6.681 6.681 90.00 90.00 90.00
Fractional positions:
Mn1 0.000 0.250 0.500
Mn2 0.000 0.750 0.500
Mn3 0.250 0.500 0.000
Mn4 0.500 0.000 0.250
Mn5 0.500 0.000 0.750
Mn6 0.750 0.500 0.000
W1 0.000 0.500 0.250
W2 0.000 0.500 0.750
W3 0.250 0.000 0.500
W4 0.500 0.250 0.000
W5 0.500 0.750 0.000
W6 0.750 0.000 0.500